Entry 1:
Density functional theory data (GGA-PBE) for a relaxed PaMnSi2W crystal.

Computed properties:
- calculated volume (Å³/atom) = 16.8
- final energy (eV per atom) = -8.864
- symmetry = No. 119
- density of states at the Fermi level (states/eV per atom) = 1.031
- total magnetization (Bohr magnetons per cell) = 2.62
- raw formation energy (meV per atom) = -371

Cell: 3.9448 3.9448 6.0890 Å, 108.90 108.90 90.00°
Each line ends with the local moment (μB).
Fractional positions:
Si 0.6099 0.6099 0.2199  -0.02
Si 0.3901 0.3901 0.7801  -0.02
W 0.2500 0.7500 0.5000  -0.01
Pa 0.0000 0.0000 0.0000  0.13
Mn 0.7500 0.2500 0.5000  2.44


Entry 2:
Density functional theory data (GGA-PBE) for a relaxed KCoP2 crystal.

Computed properties:
- energy above the most stable polymorph in this dataset (kcal/mol of atoms) = 11.494
- calculated volume (Å³/atom) = 17.9
- final energy (eV per atom) = -4.598
- symmetry = No. 99
- density of states at the Fermi level (states/eV per atom) = 1.061
- total magnetization (Bohr magnetons per cell) = 0.00
- DFT formation energy (eV/f.u.) = 0.6

Cell: 3.1298 3.1298 7.3059 Å, 90.00 90.00 90.00°
Fractional positions:
Co 0.0000 0.0000 0.3749
K 0.5000 0.5000 0.7570
P 0.5000 0.5000 0.2932
P 0.0000 0.0000 0.0749


Entry 3:
Density functional theory data (GGA-PBE) for a relaxed BaCd6Ge2 crystal.

Computed properties:
- calculated volume (Å³/atom) = 24.2
- final energy (eV per atom) = -2.033
- symmetry = No. 123
- density of states at the Fermi level (states/eV per atom) = 0.349
- total magnetization (Bohr magnetons per cell) = 0.00
- DFT formation energy (eV/f.u.) = -1.6

Cell: 4.5869 4.5869 10.3312 Å, 90.00 90.00 90.00°
Fractional positions:
Cd 0.0000 0.5000 0.7062
Cd 0.0000 0.5000 0.2938
Cd 0.0000 0.0000 0.5000
Cd 0.5000 0.0000 0.2938
Cd 0.5000 0.5000 0.5000
Cd 0.5000 0.0000 0.7062
Ba 0.0000 0.0000 0.0000
Ge 0.5000 0.5000 0.1275
Ge 0.5000 0.5000 0.8725


Entry 4:
Density functional theory data (GGA-PBE) for a relaxed Te3P5Se12 crystal.

Computed properties:
- calculated volume (Å³/atom) = 26.6
- final energy (eV per atom) = -3.645
- symmetry = No. 230
- density of states at the Fermi level (states/eV per atom) = 0.550
- total magnetization (Bohr magnetons per cell) = 0.00
- raw formation energy (meV per atom) = 269

Cell: 14.0260 14.0260 14.0260 Å, 109.47 109.47 109.47°
Fractional positions:
Se 0.7990 0.3216 0.9282
Se 0.9775 0.6067 0.1784
Se 0.0718 0.1784 0.2010
Se 0.7010 0.1292 0.0225
Se 0.5718 0.8708 0.3933
Se 0.8933 0.8216 0.5225
Se 0.6784 0.4775 0.6067
Se 0.4775 0.6784 0.1067
Se 0.8216 0.8933 0.0225
Se 0.5225 0.3216 0.8933
Se 0.3216 0.5225 0.3933
Se 0.2990 0.4282 0.8216
Se 0.5225 0.2010 0.1292
Se 0.5718 0.7010 0.6784
Se 0.7010 0.5718 0.1784
Se 0.6067 0.9775 0.6784
Se 0.3708 0.3933 0.0718
Se 0.0718 0.8933 0.3708
Se 0.8933 0.0718 0.8708
Se 0.2990 0.8708 0.9775
Se 0.1292 0.4282 0.1067
Se 0.4282 0.2990 0.3216
Se 0.2010 0.5225 0.6292
Se 0.6067 0.6292 0.4282
Se 0.1292 0.7010 0.5225
Se 0.6784 0.2010 0.5718
Se 0.2010 0.6784 0.0718
Se 0.3708 0.9775 0.7990
Se 0.8216 0.9282 0.2990
Se 0.9282 0.8216 0.7990
Se 0.7990 0.4775 0.3708
Se 0.4775 0.7990 0.8708
Se 0.3933 0.0225 0.3216
Se 0.1784 0.1067 0.9775
Se 0.8708 0.2990 0.4775
Se 0.9775 0.3708 0.2990
Se 0.3216 0.7990 0.4282
Se 0.6292 0.0225 0.2010
Se 0.1067 0.9282 0.1292
Se 0.8708 0.5718 0.8933
Se 0.3933 0.3708 0.5718
Se 0.0225 0.6292 0.7010
Se 0.6292 0.6067 0.9282
Se 0.4282 0.1292 0.6067
Se 0.0225 0.3933 0.8216
Se 0.1067 0.1784 0.4775
Se 0.1784 0.0718 0.7010
Se 0.9282 0.1067 0.6292
P 0.0000 0.5000 0.5000
P 0.7500 0.6250 0.3750
P 0.1250 0.7500 0.3750
P 0.5000 0.0000 0.5000
P 0.3750 0.1250 0.7500
P 0.1250 0.3750 0.2500
P 0.0000 0.0000 0.5000
P 0.6250 0.7500 0.8750
P 0.5000 0.5000 0.0000
P 0.2500 0.3750 0.6250
P 0.0000 0.5000 0.0000
P 0.5000 0.0000 0.0000
P 0.0000 0.0000 0.0000
P 0.2500 0.8750 0.1250
P 0.7500 0.1250 0.8750
P 0.8750 0.6250 0.7500
P 0.5000 0.5000 0.5000
P 0.6250 0.8750 0.2500
P 0.3750 0.2500 0.1250
P 0.8750 0.2500 0.6250
Te 0.6250 0.2500 0.3750
Te 0.3750 0.7500 0.6250
Te 0.3750 0.6250 0.2500
Te 0.8750 0.7500 0.1250
Te 0.6250 0.3750 0.7500
Te 0.1250 0.8750 0.7500
Te 0.1250 0.2500 0.8750
Te 0.7500 0.3750 0.1250
Te 0.8750 0.1250 0.2500
Te 0.7500 0.8750 0.6250
Te 0.2500 0.1250 0.3750
Te 0.2500 0.6250 0.8750


Entry 5:
Density functional theory data (GGA-PBE) for a relaxed Ca2CrAs crystal.

Computed properties:
- calculated volume (Å³/atom) = 23.1
- final energy (eV per atom) = -4.447
- symmetry = No. 216
- density of states at the Fermi level (states/eV per atom) = 0.652
- total magnetization (Bohr magnetons per cell) = 3.89
- DFT formation energy (eV/f.u.) = 0.5

Cell: 5.0765 5.0765 5.0765 Å, 60.00 60.00 60.00°
Each line ends with the local moment (μB).
Fractional positions:
As 0.5000 0.5000 0.5000  -0.03
Ca 0.2500 0.2500 0.2500  -0.07
Ca 0.0000 0.0000 0.0000  0.00
Cr 0.7500 0.7500 0.7500  3.59


Entry 6:
Density functional theory data (GGA-PBE) for a relaxed RbLi2PaBr8 crystal.

Computed properties:
- calculated volume (Å³/atom) = 45.4
- final energy (eV per atom) = -3.797
- symmetry = No. 12
- total magnetization (Bohr magnetons per cell) = 0.00
- raw formation energy (meV per atom) = -1491

Cell: 8.1163 8.1163 9.9604 Å, 66.51 66.51 88.40°
Fractional positions:
Br 0.3387 0.3387 0.2194
Br 0.1867 0.8475 0.1803
Br 0.8475 0.1867 0.1803
Br 0.1525 0.8133 0.8197
Br 0.8133 0.1525 0.8197
Br 0.2845 0.2845 0.7898
Br 0.7155 0.7155 0.2102
Br 0.6613 0.6613 0.7806
Rb 0.0000 0.0000 0.5000
Li 0.4089 0.4089 0.9386
Li 0.5911 0.5911 0.0614
Pa 0.0000 0.0000 0.0000


Entry 7:
Density functional theory data (GGA-PBE) for a relaxed Li2BeOsO6 crystal.

Computed properties:
- calculated volume (Å³/atom) = 8.9
- final energy (eV per atom) = -6.320
- symmetry = No. 14
- total magnetization (Bohr magnetons per cell) = 0.00
- raw formation energy (meV per atom) = -1467

Cell: 4.9172 5.1013 7.0999 Å, 90.00 89.78 90.00°
Fractional positions:
Os 0.0000 0.5000 0.0000
Os 0.5000 0.0000 0.5000
O 0.6930 0.3057 0.5577
O 0.3108 0.6986 0.0533
O 0.1090 0.4699 0.7470
O 0.8910 0.5301 0.2530
O 0.6892 0.3014 0.9467
O 0.8070 0.8057 0.9423
O 0.1892 0.1986 0.4467
O 0.3910 0.9699 0.7530
O 0.3070 0.6943 0.4423
O 0.1930 0.1943 0.0577
O 0.6090 0.0301 0.2470
O 0.8108 0.8014 0.5533
Be 0.0000 0.5000 0.5000
Be 0.5000 0.0000 0.0000
Li 0.0119 0.9495 0.2541
Li 0.4881 0.4495 0.2459
Li 0.5119 0.5505 0.7541
Li 0.9881 0.0505 0.7459


Entry 8:
Density functional theory data (GGA-PBE) for a relaxed Cd2C2ClO6 crystal.

Computed properties:
- calculated volume (Å³/atom) = 14.5
- final energy (eV per atom) = -5.814
- symmetry = No. 2
- density of states at the Fermi level (states/eV per atom) = 0.406
- total magnetization (Bohr magnetons per cell) = 1.03
- raw formation energy (meV per atom) = -1099

Cell: 5.7276 6.2924 6.4009 Å, 100.10 77.60 50.87°
Each line ends with the local moment (μB).
Fractional positions:
O 0.8771 0.7028 0.8548  0.18
O 0.1229 0.2972 0.1452  0.18
O 0.1312 0.7919 0.6233  0.15
O 0.7111 0.3565 0.1014  0.08
O 0.8688 0.2081 0.3767  0.15
O 0.2889 0.6435 0.8986  0.08
Cl 0.5000 0.0000 0.5000  0.07
C 0.9014 0.2916 0.2100  -0.01
C 0.0986 0.7084 0.7900  -0.01
Cd 0.8725 0.3378 0.7330  0.01
Cd 0.1275 0.6622 0.2670  0.01


Entry 9:
Density functional theory data (GGA-PBE) for a relaxed MgIrBr2 crystal.

Computed properties:
- energy above the most stable polymorph in this dataset (kcal/mol of atoms) = 3.172
- calculated volume (Å³/atom) = 25.8
- final energy (eV per atom) = -3.550
- symmetry = No. 44
- density of states at the Fermi level (states/eV per atom) = 0.369
- total magnetization (Bohr magnetons per cell) = 0.00
- raw formation energy (meV per atom) = -99

Cell: 8.2671 8.2671 8.2671 Å, 157.22 151.87 36.50°
Fractional positions:
Mg 0.3214 0.8214 0.5000
Br 0.9817 0.9817 0.0000
Br 0.7391 0.2391 0.5000
Ir 0.4578 0.4578 0.0000


Entry 10:
Density functional theory data (GGA-PBE) for a relaxed TlInGa2 crystal.

Computed properties:
- energy above the most stable polymorph in this dataset (kcal/mol of atoms) = 1.767
- calculated volume (Å³/atom) = 24.3
- final energy (eV per atom) = -2.689
- symmetry = No. 225
- density of states at the Fermi level (states/eV per atom) = 0.205
- total magnetization (Bohr magnetons per cell) = 0.00
- DFT formation energy (eV/f.u.) = 0.4

Cell: 5.1622 5.1622 5.1622 Å, 60.00 60.00 60.00°
Fractional positions:
Ga 0.2500 0.2500 0.2500
Ga 0.7500 0.7500 0.7500
Tl 0.5000 0.5000 0.5000
In 0.0000 0.0000 0.0000


Entry 11:
Density functional theory data (GGA-PBE) for a relaxed LaMn5 crystal.

Computed properties:
- calculated volume (Å³/atom) = 16.1
- final energy (eV per atom) = -7.914
- symmetry = No. 187
- density of states at the Fermi level (states/eV per atom) = 1.286
- total magnetization (Bohr magnetons per cell) = 3.99
- DFT formation energy (eV/f.u.) = 3.3

Cell: 2.9256 2.9256 13.0364 Å, 90.00 90.00 120.00°
Each line ends with the local moment (μB).
Fractional positions:
Mn 0.6667 0.3333 0.2134  3.17
Mn 0.0000 0.0000 0.3536  -2.66
Mn 0.0000 0.0000 0.6464  -2.66
Mn 0.6667 0.3333 0.7866  3.17
Mn 0.6667 0.3333 0.5000  2.91
La 0.0000 0.0000 0.0000  -0.07


Entry 12:
Density functional theory data (GGA-PBE) for a relaxed NdAgHgAu crystal.

Computed properties:
- calculated volume (Å³/atom) = 22.9
- final energy (eV per atom) = -3.240
- symmetry = No. 216
- density of states at the Fermi level (states/eV per atom) = 0.888
- total magnetization (Bohr magnetons per cell) = 0.00
- DFT formation energy (eV/f.u.) = -1.8

Cell: 5.0583 5.0583 5.0583 Å, 60.00 60.00 60.00°
Fractional positions:
Hg 0.0000 0.0000 0.0000
Ag 0.2500 0.2500 0.2500
Nd 0.7500 0.7500 0.7500
Au 0.5000 0.5000 0.5000